## Y3Np2Se6 (PBE-GGA)

Data for Y3Np2Se6 after structural relaxation.

Calculated values
Formation energy (no corrections), meV/atom: -1472
Space group: R-3m, No. 166
Total energy, eV/f.u.: -82.4
Size of the total moment, μB per formula unit: 7.8

Geometry as CIF:
```
data_Y3Np2Se6
_symmetry_space_group_name_H-M 'P 1'
_symmetry_Int_Tables_number 1
_cell_length_a 4.1160
_cell_length_b 4.1160
_cell_length_c 20.1358
_cell_angle_alpha 84.13
_cell_angle_beta 84.13
_cell_angle_gamma 60.00
loop_
_symmetry_equiv_pos_as_xyz
'x,y,z'
loop_
_atom_site_label
_atom_site_type_symbol
_atom_site_fract_x
_atom_site_fract_y
_atom_site_fract_z
Y1 Y 0.0000 0.0000 0.0000
Y2 Y 0.2777 0.2777 0.1669
Y3 Y 0.7223 0.7223 0.8331
Np1 Np 0.4451 0.4451 0.6647
Np2 Np 0.5549 0.5549 0.3353
Se1 Se 0.0828 0.0828 0.7515
Se2 Se 0.9172 0.9172 0.2485
Se3 Se 0.1968 0.1968 0.4097
Se4 Se 0.8032 0.8032 0.5903
Se5 Se 0.3609 0.3609 0.9172
Se6 Se 0.6391 0.6391 0.0828
```

=====

## ReSeIN2 (PBE-GGA)

Data for ReSeIN2 after structural relaxation.

Calculated values
Formation energy (no corrections), meV/atom: 672
Energy relative to the lowest polymorph listed for this composition, eV per atom: 0.000
Space group: P4/mmm, No. 123
Total energy, eV/f.u.: -30.8
Size of the total moment, μB per formula unit: 0.0

Geometry as CIF:
```
data_ReSeIN2
_symmetry_space_group_name_H-M 'P 1'
_symmetry_Int_Tables_number 1
_cell_length_a 3.9339
_cell_length_b 3.9339
_cell_length_c 5.6883
_cell_angle_alpha 90.00
_cell_angle_beta 90.00
_cell_angle_gamma 90.00
loop_
_symmetry_equiv_pos_as_xyz
'x,y,z'
loop_
_atom_site_label
_atom_site_type_symbol
_atom_site_fract_x
_atom_site_fract_y
_atom_site_fract_z
I1 I 0.5000 0.5000 0.5000
Re1 Re 0.0000 0.0000 0.0000
Se1 Se 0.0000 0.0000 0.5000
N1 N 0.0000 0.5000 0.0000
N2 N 0.5000 0.0000 0.0000
```

=====

## MgBeSi4 (PBE-GGA)

Data for MgBeSi4 after structural relaxation.

Calculated values
Formation energy (no corrections), meV/atom: 478
Space group: F-43m, No. 216
Total energy, eV/f.u.: -24.1
Size of the total moment, μB per formula unit: 0.0

Geometry as CIF:
```
data_MgBeSi4
_symmetry_space_group_name_H-M 'P 1'
_symmetry_Int_Tables_number 1
_cell_length_a 5.0299
_cell_length_b 5.0299
_cell_length_c 5.0299
_cell_angle_alpha 60.00
_cell_angle_beta 60.00
_cell_angle_gamma 60.00
loop_
_symmetry_equiv_pos_as_xyz
'x,y,z'
loop_
_atom_site_label
_atom_site_type_symbol
_atom_site_fract_x
_atom_site_fract_y
_atom_site_fract_z
Mg1 Mg 0.0000 0.0000 0.0000
Be1 Be 0.7500 0.7500 0.7500
Si1 Si 0.8742 0.3753 0.3753
Si2 Si 0.3753 0.3753 0.8742
Si3 Si 0.3753 0.8742 0.3753
Si4 Si 0.3753 0.3753 0.3753
```

=====

## Ac2PrO4 (PBE-GGA)

Data for Ac2PrO4 after structural relaxation.

Calculated values
Formation energy (no corrections), meV/atom: -2772
Space group: I4/mmm, No. 139
Total energy, eV/f.u.: -52.2
Size of the total moment, μB per formula unit: 0.0

Geometry as CIF:
```
data_Ac2PrO4
_symmetry_space_group_name_H-M 'P 1'
_symmetry_Int_Tables_number 1
_cell_length_a 4.5963
_cell_length_b 4.5963
_cell_length_c 7.4091
_cell_angle_alpha 108.07
_cell_angle_beta 108.07
_cell_angle_gamma 90.00
loop_
_symmetry_equiv_pos_as_xyz
'x,y,z'
loop_
_atom_site_label
_atom_site_type_symbol
_atom_site_fract_x
_atom_site_fract_y
_atom_site_fract_z
Pr1 Pr 0.0000 0.0000 0.0000
Ac1 Ac 0.6501 0.6501 0.3002
Ac2 Ac 0.3499 0.3499 0.6998
O1 O 0.8185 0.8185 0.6371
O2 O 0.1815 0.1815 0.3629
O3 O 0.0000 0.5000 0.0000
O4 O 0.5000 0.0000 0.0000
```

=====

## ScTa2TlTc (PBE-GGA)

Data for ScTa2TlTc after structural relaxation.

Calculated values
DFT formation energy, eV per formula unit: 4.7
Space group: P4/mmm, No. 123
Total energy, eV/f.u.: -38.1
Size of the total moment, μB per formula unit: 0.0

Geometry as CIF:
```
data_ScTa2TlTc
_symmetry_space_group_name_H-M 'P 1'
_symmetry_Int_Tables_number 1
_cell_length_a 4.7988
_cell_length_b 5.2183
_cell_length_c 4.7988
_cell_angle_alpha 90.00
_cell_angle_beta 90.00
_cell_angle_gamma 90.00
loop_
_symmetry_equiv_pos_as_xyz
'x,y,z'
loop_
_atom_site_label
_atom_site_type_symbol
_atom_site_fract_x
_atom_site_fract_y
_atom_site_fract_z
Sc1 Sc 0.5000 0.5000 0.5000
Tl1 Tl 0.0000 0.5000 0.0000
Tc1 Tc 0.0000 0.0000 0.0000
Ta1 Ta 0.0000 0.0000 0.5000
Ta2 Ta 0.5000 0.0000 0.0000
```

=====

## LiThCoH6 (PBE-GGA)

Data for LiThCoH6 after structural relaxation.

Calculated values
Space group: P-6m2, No. 187
Total energy, eV/f.u.: -39.7
Size of the total moment, μB per formula unit: 0.0

Geometry as CIF:
```
data_LiThCoH6
_symmetry_space_group_name_H-M 'P 1'
_symmetry_Int_Tables_number 1
_cell_length_a 4.4099
_cell_length_b 4.4099
_cell_length_c 4.2583
_cell_angle_alpha 90.00
_cell_angle_beta 90.00
_cell_angle_gamma 60.00
loop_
_symmetry_equiv_pos_as_xyz
'x,y,z'
loop_
_atom_site_label
_atom_site_type_symbol
_atom_site_fract_x
_atom_site_fract_y
_atom_site_fract_z
Li1 Li 0.6666 0.6667 0.5000
Th1 Th 0.0000 0.0000 0.0000
Co1 Co 0.3333 0.3333 0.5000
H1 H 0.0263 0.4866 0.2428
H2 H 0.4866 0.0264 0.7572
H3 H 0.4870 0.4866 0.7572
H4 H 0.0263 0.4870 0.7572
H5 H 0.4866 0.4870 0.2428
H6 H 0.4870 0.0264 0.2428
```

=====

## DyAl2Ga (PBE-GGA)

Data for DyAl2Ga after structural relaxation.

Calculated values
DFT formation energy, eV per formula unit: -1.0
Space group: R-3m, No. 166
Total energy, eV/f.u.: -16.1
Size of the total moment, μB per formula unit: 0.0

Geometry as CIF:
```
data_DyAl2Ga
_symmetry_space_group_name_H-M 'P 1'
_symmetry_Int_Tables_number 1
_cell_length_a 4.3299
_cell_length_b 4.3299
_cell_length_c 5.7153
_cell_angle_alpha 67.74
_cell_angle_beta 67.74
_cell_angle_gamma 60.00
loop_
_symmetry_equiv_pos_as_xyz
'x,y,z'
loop_
_atom_site_label
_atom_site_type_symbol
_atom_site_fract_x
_atom_site_fract_y
_atom_site_fract_z
Al1 Al 0.7152 0.7152 0.8545
Al2 Al 0.2848 0.2848 0.1455
Ga1 Ga 0.0000 0.0000 0.0000
Dy1 Dy 0.5000 0.5000 0.5000
```

=====

## Er4Sb2P (PBE-GGA)

Data for Er4Sb2P after structural relaxation.

Calculated values
Formation energy (no corrections), meV/atom: -847
Space group: P2_1/m, No. 11
Total energy, eV/f.u.: -37.8
Size of the total moment, μB per formula unit: 0.0

Geometry as CIF:
```
data_Er4Sb2P
_symmetry_space_group_name_H-M 'P 1'
_symmetry_Int_Tables_number 1
_cell_length_a 6.6011
_cell_length_b 6.4936
_cell_length_c 9.2043
_cell_angle_alpha 90.00
_cell_angle_beta 109.23
_cell_angle_gamma 90.00
loop_
_symmetry_equiv_pos_as_xyz
'x,y,z'
loop_
_atom_site_label
_atom_site_type_symbol
_atom_site_fract_x
_atom_site_fract_y
_atom_site_fract_z
Er1 Er 0.4962 0.4971 0.2394
Er2 Er 0.0634 0.7500 0.8577
Er3 Er 0.9366 0.2500 0.1423
Er4 Er 0.4962 0.0029 0.2394
Er5 Er 0.9015 0.2500 0.5626
Er6 Er 0.5038 0.9971 0.7606
Er7 Er 0.5038 0.5029 0.7606
Er8 Er 0.0985 0.7500 0.4374
Sb1 Sb 0.7116 0.7500 0.0551
Sb2 Sb 0.2884 0.2500 0.9449
Sb3 Sb 0.3074 0.2500 0.4584
Sb4 Sb 0.6926 0.7500 0.5416
P1 P 0.1559 0.7500 0.1633
P2 P 0.8441 0.2500 0.8367
```